# 1
A plane-wave DFT calculation with PBE was carried out for an optimized crystal structure of TaVGe2.

The symmetry is P4/mmm (123). The crystal system is tetragonal. As for the energy relative to the elements: 0.0303 eV/atom.

The structure in POSCAR format:
```
TaVGe2
1.0
3.083 0.000 0.000
0.000 3.083 0.000
0.000 0.000 6.531
Ta V Ge
1 1 2
direct
0.000 0.000 0.000
0.000 0.000 0.500
0.500 0.500 0.273
0.500 0.500 0.727
```



# 2
A plane-wave DFT calculation with PBE was carried out for an optimized crystal structure of Pr2Y2Te2Se3.

The symmetry is I4/mmm (139). The crystal system is tetragonal. The raw formation energy is -1448 meV per atom.

The structure in POSCAR format:
```
Pr2Y2Te2Se3
1.0
-2.821 2.821 8.096
2.821 -2.821 8.096
2.821 2.821 -8.096
Pr Y Te Se
2 2 2 3
direct
0.193 0.193 0.000
0.807 0.807 0.000
0.000 0.500 0.500
0.500 0.000 0.500
0.395 0.395 0.000
0.605 0.605 0.000
0.000 0.000 0.000
0.250 0.750 0.500
0.750 0.250 0.500
```



# 3
A plane-wave DFT calculation with PBE was carried out for an optimized crystal structure of InAs2P.

The symmetry is C2/m (12). The crystal system is monoclinic. As for the energy relative to the elements: 0.2492 eV/atom.

The structure in POSCAR format:
```
InAs2P
1.0
5.021 -1.714 0.000
5.021 1.714 0.000
-2.036 0.000 5.181
In As P
1 2 1
direct
0.000 0.000 0.000
0.201 0.201 0.634
0.799 0.799 0.366
0.500 0.500 0.500
```



# 4
A plane-wave DFT calculation with PBE was carried out for an optimized crystal structure of CdSi2Bi.

The symmetry is I-42d (122). The crystal system is tetragonal. The raw formation energy is 503 meV per atom.

The structure in POSCAR format:
```
CdSi2Bi
1.0
-3.131 3.131 6.030
3.131 -3.131 6.030
3.131 3.131 -6.030
Cd Si Bi
2 4 2
direct
0.000 0.000 0.000
0.750 0.250 0.500
0.108 0.625 0.983
0.375 0.358 0.483
0.642 0.125 0.017
0.875 0.892 0.517
0.250 0.750 0.500
0.500 0.500 0.000
```



# 5
A plane-wave DFT calculation with PBE was carried out for an optimized crystal structure of NaMgSnAs.

The symmetry is Cm (8). The crystal system is monoclinic. As for the energy relative to the elements: -0.2330 eV/atom.

The structure in POSCAR format:
```
NaMgSnAs
1.0
2.280 -2.278 0.000
2.280 2.278 0.000
-0.015 0.000 8.858
Na Mg Sn As
1 1 1 1
direct
0.000 0.000 0.000
0.000 0.000 0.565
0.500 0.500 0.298
0.499 0.499 0.758
```



# 6
A plane-wave DFT calculation with PBE was carried out for an optimized crystal structure of TaIn2Os.

The symmetry is Fm-3m (225). The crystal system is cubic. As for the energy relative to the elements: 0.5980 eV/atom.

The structure in POSCAR format:
```
TaIn2Os
1.0
0.000 3.321 3.321
3.321 0.000 3.321
3.321 3.321 0.000
Ta In Os
1 2 1
direct
0.000 0.000 0.000
0.250 0.250 0.250
0.750 0.750 0.750
0.500 0.500 0.500
```